[1]
The following is a DFT calculation (PBE) of a geometry-optimized CuRe2Se structure.

## Properties
The uncorrected formation energy is 469.0 meV/atom. The calculation puts the total energy at -7.6502 eV/atom. The calculation puts the density of states at the Fermi level at 2.727 states/eV/cell.

Lattice parameters (Å, degrees): 2.913 4.066 5.280 90.00 105.89 90.00
Fractional coordinates of all 4 atoms:
Cu1 0.000 0.000 0.000
Re1 0.253 0.000 0.504
Re2 0.642 0.500 0.285
Se1 0.398 0.500 0.800

---

[2]
The following is a DFT calculation (PBE) of a geometry-optimized CuReSe structure.

## Properties
The uncorrected formation energy is 799.7 meV/atom. The calculation puts the total energy at -5.8766 eV/atom. The value obtained for the energy relative to the lowest polymorph listed for this composition is 430 meV per atom. The calculation puts the density of states at the Fermi level at 2.001 states/eV/cell.

Lattice parameters (Å, degrees): 4.094 4.094 4.094 60.00 60.00 60.00
Fractional coordinates of all 3 atoms:
Cu1 0.000 0.000 0.000
Re1 0.500 0.500 0.500
Se1 0.250 0.250 0.250

---

[3]
The following is a DFT calculation (PBE) of a geometry-optimized CuRe2Se structure.

## Properties
The uncorrected formation energy is 630.2 meV/atom. The calculation puts the total energy at -7.4890 eV/atom. The calculation puts the density of states at the Fermi level at 4.245 states/eV/cell.

Lattice parameters (Å, degrees): 5.185 5.185 5.185 146.11 130.23 61.58
Fractional coordinates of all 4 atoms:
Cu1 0.000 0.000 0.000
Re1 0.478 0.478 0.000
Re2 0.733 0.233 0.500
Se1 0.249 0.749 0.500

---

[4]
The following is a DFT calculation (PBE) of a geometry-optimized CuRe2Se structure.

## Properties
The uncorrected formation energy is 739.2 meV/atom. The calculation puts the total energy at -7.3800 eV/atom. The calculation puts the density of states at the Fermi level at 3.268 states/eV/cell.

Lattice parameters (Å, degrees): 3.037 4.415 4.524 90.00 90.00 90.00
Fractional coordinates of all 4 atoms:
Cu1 0.000 0.000 0.000
Re1 0.000 0.500 0.500
Re2 0.500 0.000 0.500
Se1 0.500 0.500 0.000

---

[5]
The following is a DFT calculation (PBE) of a geometry-optimized CuReSe structure.

## Properties
The uncorrected formation energy is 370.2 meV/atom. The calculation puts the total energy at -6.3061 eV/atom. The value obtained for the energy relative to the lowest polymorph listed for this composition is 0 meV per atom. The calculation puts the density of states at the Fermi level at 3.677 states/eV/cell.

Lattice parameters (Å, degrees): 3.007 3.007 6.149 90.00 90.00 120.00
Fractional coordinates of all 3 atoms:
Cu1 0.000 0.000 0.000
Re1 0.667 0.333 0.330
Se1 0.333 0.667 0.620

---

[6]
The following is a DFT calculation (PBE) of a geometry-optimized CuRe2Se structure.

## Properties
The uncorrected formation energy is 876.9 meV/atom. The calculation puts the total energy at -7.2423 eV/atom. The calculation puts the density of states at the Fermi level at 4.220 states/eV/cell.

Lattice parameters (Å, degrees): 5.085 5.085 5.085 136.70 136.70 62.89
Fractional coordinates of all 4 atoms:
Cu1 0.000 0.000 0.000
Re1 0.250 0.750 0.500
Re2 0.750 0.250 0.500
Se1 0.500 0.500 0.000

---

[7]
The following is a DFT calculation (PBE) of a geometry-optimized CuRe2Se structure.

## Properties
The uncorrected formation energy is 536.2 meV/atom. The calculation puts the total energy at -7.5831 eV/atom. The calculation puts the density of states at the Fermi level at 3.429 states/eV/cell.

Lattice parameters (Å, degrees): 2.754 2.754 9.077 90.00 90.00 114.90
Fractional coordinates of all 4 atoms:
Cu1 0.000 0.000 0.000
Re1 0.000 0.000 0.478
Re2 0.500 0.500 0.242
Se1 0.500 0.500 0.745

---

[8]
The following is a DFT calculation (PBE) of a geometry-optimized CuRe2Se structure.

## Properties
The uncorrected formation energy is 334.8 meV/atom. The calculation puts the total energy at -7.7844 eV/atom. The calculation puts the density of states at the Fermi level at 3.122 states/eV/cell.

Lattice parameters (Å, degrees): 8.768 8.768 8.768 18.72 18.72 18.72
Fractional coordinates of all 4 atoms:
Cu1 0.000 0.000 0.000
Re1 0.499 0.499 0.499
Re2 0.750 0.750 0.750
Se1 0.248 0.248 0.248

---

[9]
The following is a DFT calculation (PBE) of a geometry-optimized CuReSe structure.

## Properties
The uncorrected formation energy is 679.9 meV/atom. The calculation puts the total energy at -5.9964 eV/atom. The value obtained for the energy relative to the lowest polymorph listed for this composition is 310 meV per atom. The calculation puts the density of states at the Fermi level at 2.687 states/eV/cell.

Lattice parameters (Å, degrees): 7.152 6.899 2.835 83.43 73.38 23.19
Fractional coordinates of all 3 atoms:
Cu1 0.000 0.000 0.000
Re1 0.344 0.344 0.656
Se1 0.691 0.691 0.309

---

[10]
The following is a DFT calculation (PBE) of a geometry-optimized CuRe2Se structure.

## Properties
The uncorrected formation energy is 823.6 meV/atom. The calculation puts the total energy at -7.2956 eV/atom. The calculation puts the density of states at the Fermi level at 4.360 states/eV/cell.

Lattice parameters (Å, degrees): 2.708 2.708 9.368 90.00 90.00 116.59
Fractional coordinates of all 4 atoms:
Cu1 0.000 0.000 0.000
Re1 0.500 0.500 0.237
Re2 0.500 0.500 0.763
Se1 0.000 0.000 0.500

---

[11]
The following is a DFT calculation (PBE) of a geometry-optimized CuRe3Se structure.

## Properties
The uncorrected formation energy is 2245.4 meV/atom. The calculation puts the total energy at -6.7396 eV/atom. The value obtained for the energy relative to the lowest polymorph listed for this composition is 358 meV per atom. The calculation puts the density of states at the Fermi level at 7.049 states/eV/cell.

Lattice parameters (Å, degrees): 4.499 4.499 4.499 90.00 90.00 90.00
Fractional coordinates of all 5 atoms:
Cu1 0.000 0.000 0.000
Re1 0.000 0.000 0.500
Re2 0.000 0.500 0.000
Re3 0.500 0.000 0.000
Se1 0.500 0.500 0.500

---

[12]
The following is a DFT calculation (PBE) of a geometry-optimized CuRe2Se structure.

## Properties
The uncorrected formation energy is 647.9 meV/atom. The calculation puts the total energy at -7.4713 eV/atom. The calculation puts the density of states at the Fermi level at 2.165 states/eV/cell.

Lattice parameters (Å, degrees): 4.398 4.398 4.398 119.95 119.95 90.08
Fractional coordinates of all 4 atoms:
Cu1 0.000 0.000 0.000
Re1 0.500 0.500 0.000
Re2 0.750 0.250 0.500
Se1 0.250 0.750 0.500

---

[13]
The following is a DFT calculation (PBE) of a geometry-optimized CuRe2Se structure.

## Properties
The uncorrected formation energy is 626.2 meV/atom. The calculation puts the total energy at -7.4931 eV/atom. The calculation puts the density of states at the Fermi level at 3.144 states/eV/cell.

Lattice parameters (Å, degrees): 3.063 3.063 6.081 90.00 90.00 90.00
Fractional coordinates of all 4 atoms:
Cu1 0.000 0.000 0.000
Re1 0.500 0.500 0.234
Re2 0.500 0.500 0.766
Se1 0.000 0.000 0.500

---

[14]
The following is a DFT calculation (PBE) of a geometry-optimized CuRe2Se structure.

## Properties
The uncorrected formation energy is 729.2 meV/atom. The calculation puts the total energy at -7.3901 eV/atom. The calculation puts the density of states at the Fermi level at 3.448 states/eV/cell.

Lattice parameters (Å, degrees): 2.792 4.443 4.981 90.00 90.31 90.00
Fractional coordinates of all 4 atoms:
Cu1 0.000 0.000 0.000
Re1 0.320 0.500 0.228
Re2 0.680 0.500 0.772
Se1 0.500 0.000 0.500

---

[15]
The following is a DFT calculation (PBE) of a geometry-optimized CuRe2Se structure.

## Properties
The uncorrected formation energy is 597.4 meV/atom. The calculation puts the total energy at -7.5218 eV/atom. The calculation puts the density of states at the Fermi level at 2.788 states/eV/cell.

Lattice parameters (Å, degrees): 5.836 5.836 5.836 150.74 139.85 50.45
Fractional coordinates of all 4 atoms:
Cu1 0.000 0.000 0.000
Re1 0.298 0.798 0.500
Re2 0.702 0.202 0.500
Se1 0.500 0.500 0.000